{
  "formula": "LiZr2Ti",
  "functional": "GGA-PBE",
  "state": "optimized geometry",
  "lattice": [[4.0308, 0.0000, 0.0000], [0.0000, 4.4120, 0.0000], [0.0000, 0.0000, 4.4120]],
  "species": ["Ti", "Li", "Zr", "Zr"],
  "frac_coords": [[0.5000, 0.5000, 0.5000], [0.5000, 0.0000, 0.0000], [0.0000, 0.5000, 0.0000], [0.0000, 0.0000, 0.5000]],
  "total_magnetization_mub_per_cell": 0.00,
  "e_tot_ev_per_atom": -6.492,
  "formation_energy_kj_per_mol_atoms": 23
}